Arrangement one

{
  "formula": "TeAsN2Cl",
  "functional": "GGA-PBE",
  "state": "optimized geometry",
  "lattice": [[3.8324, 0.0000, 0.0000], [0.0000, 3.8324, 0.0000], [0.0000, 0.0000, 6.1682]],
  "species": ["Cl", "As", "N", "N", "Te"],
  "frac_coords": [[0.5000, 0.5000, 0.5000], [0.0000, 0.0000, 0.0000], [0.5000, 0.0000, 0.0000], [0.0000, 0.5000, 0.0000], [0.0000, 0.0000, 0.5000]],
  "dos_ef_per_ev_cell": 2.88,
  "space_group": "No. 123"
}

Arrangement two

{
  "formula": "TeAsN2Cl",
  "functional": "GGA-PBE",
  "state": "optimized geometry",
  "lattice": [[-3.6664, -0.8750, -1.2536], [-0.3617, -2.6685, 2.9203], [-2.8986, 5.4824, 4.6506]],
  "species": ["As", "N", "N", "Te", "Cl"],
  "frac_coords": [[0.5000, 0.5000, 0.5000], [0.5000, 0.0000, 0.0000], [0.0000, 0.5000, 0.0000], [0.0000, 0.0000, 0.5000], [0.0000, 0.0000, 0.0000]],
  "dos_ef_per_ev_cell": 2.34,
  "space_group": "No. 123"
}

According to the calculations, the structures order from most to least stable as arrangement one, arrangement two.